# ReAs2PBr

Crystalline ReAs2PBr at its relaxed geometry (PBE-GGA, Alexandria).

abc: 4.752 4.752 5.348
angles: 90.00 90.00 90.00
Atoms (fractional coordinates):
1 Re 0.000 0.000 0.000
2 As 0.000 0.500 0.000
3 As 0.500 0.000 0.000
4 P 0.500 0.500 0.500
5 Br 0.000 0.000 0.500

Results
Formation energy (no corrections)   0.957 eV per atom
Energy relative to the lowest polymorph listed for this composition   12.319 kcal/mol of atoms
Calculated total energy   -24.04 eV per formula unit
Spin magnetization   0.25 μB/atom

=====

# AsPS2Br

Crystalline AsPS2Br at its relaxed geometry (PBE-GGA, Alexandria).

abc: 4.616 4.616 5.284
angles: 90.00 90.00 90.00
Atoms (fractional coordinates):
1 As 0.000 0.000 0.000
2 P 0.000 0.000 0.500
3 S 0.000 0.500 0.000
4 S 0.500 0.000 0.000
5 Br 0.500 0.500 0.500

Results
Formation energy (no corrections)   0.825 eV per atom
Energy relative to the lowest polymorph listed for this composition   0.000 kcal/mol of atoms
Calculated total energy   -15.86 eV per formula unit
Spin magnetization   0.00 μB/atom

=====

# AsPSBr2

Crystalline AsPSBr2 at its relaxed geometry (PBE-GGA, Alexandria).

abc: 4.833 4.833 5.251
angles: 90.00 90.00 90.00
Atoms (fractional coordinates):
1 As 0.000 0.000 0.000
2 P 0.000 0.000 0.500
3 S 0.500 0.500 0.000
4 Br 0.000 0.500 0.500
5 Br 0.500 0.000 0.500

Results
Formation energy (no corrections)   0.727 eV per atom
Energy relative to the lowest polymorph listed for this composition   0.000 kcal/mol of atoms
Calculated total energy   -13.90 eV per formula unit
Spin magnetization   0.00 μB/atom

=====

# SbAs2PBr

Crystalline SbAs2PBr at its relaxed geometry (PBE-GGA, Alexandria).

abc: 5.433 5.433 5.416
angles: 90.00 90.00 90.00
Atoms (fractional coordinates):
1 Sb 0.000 0.000 0.000
2 As 0.000 0.500 0.000
3 As 0.500 0.000 0.000
4 P 0.500 0.500 0.500
5 Br 0.000 0.000 0.500

Results
Formation energy (no corrections)   1.109 eV per atom
Energy relative to the lowest polymorph listed for this composition   12.622 kcal/mol of atoms
Calculated total energy   -14.96 eV per formula unit
Spin magnetization   0.02 μB/atom

=====

# SbAs2PBr

Crystalline SbAs2PBr at its relaxed geometry (PBE-GGA, Alexandria).

abc: 4.943 4.943 4.848
angles: 90.00 90.00 90.00
Atoms (fractional coordinates):
1 Sb 0.000 0.000 0.000
2 As 0.000 0.500 0.500
3 As 0.500 0.000 0.500
4 P 0.500 0.500 0.500
5 Br 0.500 0.500 0.000

Results
Formation energy (no corrections)   0.562 eV per atom
Energy relative to the lowest polymorph listed for this composition   0.000 kcal/mol of atoms
Calculated total energy   -17.69 eV per formula unit
Spin magnetization   0.00 μB/atom

=====

# AsPSeBr2

Crystalline AsPSeBr2 at its relaxed geometry (PBE-GGA, Alexandria).

abc: 4.888 4.888 5.276
angles: 90.00 90.00 90.00
Atoms (fractional coordinates):
1 As 0.000 0.000 0.000
2 P 0.000 0.000 0.500
3 Se 0.500 0.500 0.000
4 Br 0.000 0.500 0.500
5 Br 0.500 0.000 0.500

Results
Formation energy (no corrections)   0.570 eV per atom
Energy relative to the lowest polymorph listed for this composition   0.372 kcal/mol of atoms
Calculated total energy   -14.04 eV per formula unit
Spin magnetization   0.05 μB/atom

=====

Q: What is the spin magnetization in the fifth record?
A: 0.00 μB/atom